Ac2GaBi4 after structural relaxation. Source: Alexandria, functional GGA-PBE.

Computed properties:
ρ, g/cm³: 9.50
Distance to the lowest polymorph of the same formula, meV per atom: 0
Energy relative to the elements, eV per atom: -0.583
Calculated total energy, eV/atom: -4.41
Space-group type: P-4m2, No. 115

abc: 4.7914 4.7914 10.3536
angles: 90.00 90.00 90.00
Element x y z (fractional)
Ac  0.0000  0.5000  0.2413
Ac  0.5000  0.0000  0.7587
Ga  0.5000  0.5000  0.0000
Bi  0.0000  0.0000  0.5000
Bi  0.0000  0.5000  0.8437
Bi  0.5000  0.0000  0.1563
Bi  0.5000  0.5000  0.5000

CsMgCoCl6 after structural relaxation. Source: Alexandria, functional GGA-PBE.

Computed properties:
ρ, g/cm³: 2.65
Energy relative to the elements, uncorrected, meV/atom: -1315.7
Calculated total energy, eV/atom: -3.61
Space-group type: P312, No. 149

abc: 6.2792 6.2792 7.8597
angles: 90.00 90.00 120.00
Element x y z (fractional)
Cs  0.0000  0.0000  0.0000
Mg  0.3333  0.6667  0.5000
Co  0.6667  0.3333  0.5000
Cl  0.3833  0.0283  0.6687
Cl  0.3833  0.3550  0.3313
Cl  0.6450  0.0283  0.3313
Cl  0.6450  0.6167  0.6687
Cl  0.9717  0.3550  0.6687
Cl  0.9717  0.6167  0.3313

KCd4Sn2 after structural relaxation. Source: Alexandria, functional GGA-PBE.

Computed properties:
ρ, g/cm³: 6.23
Energy relative to the elements, eV per atom: -0.089
Calculated total energy, eV/atom: -1.91
Space-group type: Cmmm, No. 65

abc: 8.9305 8.9305 4.7385
angles: 90.00 90.00 149.20
Element x y z (fractional)
K  0.0000  0.0000  0.0000
Cd  0.1875  0.8125  0.5000
Cd  0.3086  0.6914  0.0000
Cd  0.6914  0.3086  0.0000
Cd  0.8125  0.1875  0.5000
Sn  0.4133  0.5867  0.5000
Sn  0.5867  0.4133  0.5000

Er2MgPt after structural relaxation. Source: Alexandria, functional GGA-PBE.

Computed properties:
ρ, g/cm³: 9.77
Energy relative to the elements, eV per atom: -0.691
Calculated total energy, eV/atom: -4.88
Space-group type: P4/mmm, No. 123

abc: 3.5872 3.5872 7.3167
angles: 90.00 90.00 90.00
Element x y z (fractional)
Er  0.0000  0.0000  0.2187
Er  0.0000  0.0000  0.7813
Mg  0.5000  0.5000  0.5000
Pt  0.5000  0.5000  0.0000

SrLaTl after structural relaxation. Source: Alexandria, functional GGA-PBE.

Computed properties:
ρ, g/cm³: 6.59
Energy relative to the elements, eV per atom: -0.248
Calculated total energy, eV/atom: -3.24
Space-group type: P4mm, No. 99

abc: 4.0107 4.0107 13.4987
angles: 90.00 90.00 90.00
Element x y z (fractional)
Sr  0.0000  0.0000  0.0000
Sr  0.0000  0.0000  0.3093
La  0.0000  0.0000  0.6088
La  0.5000  0.5000  0.7818
Tl  0.5000  0.5000  0.1474
Tl  0.5000  0.5000  0.4725

La5USb6 after structural relaxation. Source: Alexandria, functional GGA-PBE.

Computed properties:
ρ, g/cm³: 6.76
Energy relative to the elements, uncorrected, meV/atom: -1082.9
Calculated total energy, eV/atom: -6.14
Space-group type: C2/m, No. 12

abc: 7.9428 7.9428 7.9410
angles: 99.61 99.61 120.04
Element x y z (fractional)
La  0.0000  0.0000  0.0000
La  0.1656  0.8344  0.5000
La  0.3301  0.6699  0.0000
La  0.6699  0.3301  0.0000
La  0.8344  0.1656  0.5000
U  0.5000  0.5000  0.5000
Sb  0.0957  0.4190  0.2565
Sb  0.2597  0.2597  0.7454
Sb  0.4190  0.0957  0.2565
Sb  0.5810  0.9043  0.7435
Sb  0.7403  0.7403  0.2546
Sb  0.9043  0.5810  0.7435

Tm3AsPb after structural relaxation. Source: Alexandria, functional GGA-PBE.

Computed properties:
ρ, g/cm³: 9.83
Energy relative to the elements, eV per atom: -0.792
Calculated total energy, eV/atom: -5.15
Space-group type: Pnma, No. 62

abc: 8.3389 4.2834 14.9206
angles: 90.00 90.00 90.00
Element x y z (fractional)
Tm  0.0189  0.2500  0.1065
Tm  0.1541  0.2500  0.5302
Tm  0.1787  0.7500  0.2765
Tm  0.3213  0.2500  0.7765
Tm  0.3459  0.7500  0.0302
Tm  0.4811  0.7500  0.6065
Tm  0.5189  0.2500  0.3935
Tm  0.6541  0.2500  0.9698
Tm  0.6787  0.7500  0.2235
Tm  0.8213  0.2500  0.7235
Tm  0.8459  0.7500  0.4698
Tm  0.9811  0.7500  0.8935
As  0.1897  0.2500  0.9435
As  0.3103  0.7500  0.4435
As  0.6897  0.2500  0.5565
As  0.8103  0.7500  0.0565
Pb  0.0942  0.7500  0.6832
Pb  0.4058  0.2500  0.1832
Pb  0.5942  0.7500  0.8168
Pb  0.9058  0.2500  0.3168

CdP2PbS after structural relaxation. Source: Alexandria, functional GGA-PBE.

Computed properties:
ρ, g/cm³: 4.78
Energy relative to the elements, uncorrected, meV/atom: 813.5
Distance to the lowest polymorph of the same formula, meV per atom: 0
Calculated total energy, eV/atom: -3.10
Space-group type: P4/mmm, No. 123

abc: 5.1523 5.1523 5.4134
angles: 90.00 90.00 90.00
Element x y z (fractional)
Cd  0.0000  0.0000  0.0000
P  0.0000  0.5000  0.0000
P  0.5000  0.0000  0.0000
Pb  0.5000  0.5000  0.5000
S  0.0000  0.0000  0.5000

V3PbCl8 after structural relaxation. Source: Alexandria, functional GGA-PBE.

Computed properties:
ρ, g/cm³: 3.34
Energy relative to the elements, uncorrected, meV/atom: -1090.4
Calculated total energy, eV/atom: -4.91
Space-group type: C2/m, No. 12

abc: 7.6536 7.6536 7.7633
angles: 120.37 120.37 60.02
Element x y z (fractional)
V  0.0000  0.0000  0.0000
V  0.0000  0.5000  0.0000
V  0.5000  0.0000  0.0000
Pb  0.5000  0.5000  0.0000
Cl  0.2024  0.7625  0.2217
Cl  0.2370  0.2370  0.2055
Cl  0.2375  0.2375  0.7784
Cl  0.2374  0.7976  0.7783
Cl  0.7625  0.2024  0.2217
Cl  0.7625  0.7625  0.2216
Cl  0.7630  0.7630  0.7945
Cl  0.7976  0.2374  0.7783

SrZrPt after structural relaxation. Source: Alexandria, functional GGA-PBE.

Computed properties:
ρ, g/cm³: 7.62
Distance to the lowest polymorph of the same formula, meV per atom: 228
Energy relative to the elements, eV per atom: -0.488
Calculated total energy, eV/atom: -5.91
Space-group type: I4mm, No. 107

abc: 6.8454 6.8454 6.8454
angles: 149.69 149.69 43.40
Element x y z (fractional)
Sr  0.0000  0.0000  0.0000
Zr  0.2712  0.2712  0.0000
Pt  0.6903  0.6903  0.0000

CaZr2Cu after structural relaxation. Source: Alexandria, functional GGA-PBE.

Computed properties:
ρ, g/cm³: 5.24
Distance to the lowest polymorph of the same formula, meV per atom: 442
Energy relative to the elements, eV per atom: 0.453
Calculated total energy, eV/atom: -5.35
Space-group type: Cmmm, No. 65

abc: 5.7086 5.7086 3.1942
angles: 90.00 90.00 119.38
Element x y z (fractional)
Ca  0.0000  0.0000  0.0000
Zr  0.0000  0.5000  0.5000
Zr  0.5000  0.0000  0.5000
Cu  0.5000  0.5000  0.0000

Ta3Co5B2 after structural relaxation. Source: Alexandria, functional GGA-PBE.

Computed properties:
ρ, g/cm³: 12.42
Energy relative to the elements, eV per atom: -0.387
Calculated total energy, eV/atom: -8.83
Space-group type: P4/mbm, No. 127

abc: 8.4183 8.4183 3.2417
angles: 90.00 90.00 90.00
Element x y z (fractional)
Ta  0.0000  0.0000  0.0000
Ta  0.1745  0.3255  0.0000
Ta  0.3255  0.8255  0.0000
Ta  0.5000  0.5000  0.0000
Ta  0.6745  0.1745  0.0000
Ta  0.8255  0.6745  0.0000
Co  0.0000  0.5000  0.5000
Co  0.0699  0.7796  0.5000
Co  0.2204  0.0699  0.5000
Co  0.2796  0.5699  0.5000
Co  0.4301  0.2796  0.5000
Co  0.5000  0.0000  0.5000
Co  0.5699  0.7204  0.5000
Co  0.7204  0.4301  0.5000
Co  0.7796  0.9301  0.5000
Co  0.9301  0.2204  0.5000
B  0.1190  0.6190  0.0000
B  0.3810  0.1190  0.0000
B  0.6190  0.8810  0.0000
B  0.8810  0.3810  0.0000